This record from the Alexandria database describes V3PtO9 after structural relaxation. The functional is GGA+U.

a b c (Å): 7.953 7.953 10.243
angles (deg): 122.31 122.31 53.14
Fractional positions:
V1 0.025 0.975 0.500
V2 0.274 0.472 0.561
V3 0.472 0.274 0.061
V4 0.524 0.721 0.431
V5 0.721 0.524 0.931
V6 0.975 0.025 0.000
Pt1 0.001 0.501 0.750
Pt2 0.501 0.001 0.250
O1 0.014 0.786 0.834
O2 0.094 0.760 0.551
O3 0.130 0.391 0.581
O4 0.212 0.994 0.168
O5 0.246 0.898 0.446
O6 0.305 0.385 0.902
O7 0.385 0.305 0.402
O8 0.391 0.130 0.081
O9 0.503 0.504 0.752
O10 0.504 0.503 0.252
O11 0.604 0.871 0.420
O12 0.624 0.697 0.096
O13 0.697 0.624 0.596
O14 0.760 0.094 0.051
O15 0.786 0.014 0.334
O16 0.871 0.604 0.920
O17 0.898 0.246 0.946
O18 0.994 0.212 0.668

Computed properties:
Energy = -7.117 eV per atom
Crystal system = monoclinic
Density = 3.93 g/cm³